(1)
CsAg4Sn3Br12 | Alexandria | PBE | optimized geometry; theoretical density = 3.942 g/cm³
1.0
7.886 4.553 3.675
-7.886 4.553 3.675
0.000 -9.106 3.675
Cs Ag Sn Br
1 4 3 12
Cartesian
0.000 0.000 0.000
-3.283 -5.687 5.512
0.000 0.000 5.512
-3.283 5.687 5.512
6.567 0.000 5.512
-4.484 -1.339 3.675
-4.484 1.339 7.350
1.083 4.553 3.675
-4.954 -3.759 5.180
-6.492 0.000 5.512
-0.778 -6.170 5.844
-2.604 0.000 5.512
-4.954 3.759 5.844
3.246 -5.622 5.512
1.302 -2.255 5.512
-0.778 6.170 5.180
1.302 2.255 5.512
5.732 -2.411 5.180
3.246 5.622 5.512
5.732 2.411 5.844


(2)
CsAgSnBr4 | Alexandria | PBE | optimized geometry; theoretical density = 4.158 g/cm³
1.0
7.029 0.000 0.000
0.000 7.793 0.000
-3.445 0.000 9.903
Cs Ag Sn Br
2 2 2 8
Cartesian
-0.157 1.948 4.523
3.742 5.845 5.380
-2.626 1.948 8.159
6.211 5.845 1.743
-1.239 5.845 9.806
4.824 1.948 0.097
0.487 1.948 0.890
0.277 5.845 4.077
-0.554 3.953 7.920
-0.554 7.736 7.920
4.139 0.057 1.983
4.139 3.840 1.983
3.308 1.948 5.825
3.098 5.845 9.013


(3)
Cs2TaAgBr6 | Alexandria | PBE | optimized geometry; theoretical density = 5.039 g/cm³
1.0
-3.918 3.918 5.549
3.918 -3.918 5.549
3.918 3.918 -5.549
Cs Ta Ag Br
2 1 1 6
Cartesian
3.918 0.000 2.774
0.000 3.918 2.774
0.000 0.000 0.000
0.000 0.000 5.549
0.000 0.000 2.650
1.874 1.874 0.000
2.044 -2.044 5.549
-2.044 2.044 5.549
0.000 0.000 8.448
2.044 2.044 5.549


(4)
Cs2TbAgBr6 | Alexandria | PBE | optimized geometry; theoretical density = 4.525 g/cm³
1.0
8.047 0.000 0.000
0.000 11.469 0.000
0.000 0.000 8.048
Cs Tb Ag Br
4 2 2 12
Cartesian
2.012 0.002 2.007
2.012 5.732 2.007
6.035 11.466 6.041
6.035 5.737 6.041
2.012 2.867 6.040
6.035 8.601 2.008
2.012 8.601 6.030
6.035 2.867 2.018
0.023 2.867 4.052
0.023 2.867 8.030
2.012 0.056 6.042
2.012 5.678 6.042
4.001 2.867 4.052
4.000 2.867 8.030
4.047 8.601 0.018
4.046 8.601 3.996
6.035 5.790 2.006
6.035 11.412 2.006
8.024 8.601 0.018
8.025 8.601 3.996


Summary of formation energy from raw total energies in eV/f.u.
-12.79, -6.55, -10.26, -15.73
(order as listed above)